MgAg2As | GGA-PBE | optimized geometry

```
data_MgAg2As
_cell_length_a 9.8264
_cell_length_b 3.0598
_cell_length_c 4.9758
_cell_angle_alpha 90.00
_cell_angle_beta 99.17
_cell_angle_gamma 90.00
_space_group_name_H-M_alt 'C 1 2/m 1'
_space_group_IT_number 12
_space_group_name_Hall '-C 2y'
loop_
_atom_site_label
_atom_site_type_symbol
_atom_site_fract_x
_atom_site_fract_y
_atom_site_fract_z
Mg1 Mg 0.0000 0.0000 0.0000
Ag1 Ag 0.2480 0.5000 0.2436
As1 As 0.0000 0.5000 0.5000
```

***

MgAgAs | GGA-PBE | optimized geometry

```
data_MgAgAs
_cell_length_a 7.8661
_cell_length_b 4.5389
_cell_length_c 7.5026
_cell_angle_alpha 90.00
_cell_angle_beta 90.00
_cell_angle_gamma 90.00
_space_group_name_H-M_alt 'C 1 m 1'
_space_group_IT_number 8
_space_group_name_Hall 'C -2y'
loop_
_atom_site_label
_atom_site_type_symbol
_atom_site_fract_x
_atom_site_fract_y
_atom_site_fract_z
Mg1 Mg 0.0000 0.0000 0.0000
Mg2 Mg 0.1655 0.5000 0.5171
Ag1 Ag 0.3321 0.0000 0.7209
Ag2 Ag 0.3333 0.0000 0.1449
As1 As 0.1665 0.5000 0.1660
As2 As 0.4988 0.5000 0.6470
```

***

MgAgAs | GGA-PBE | optimized geometry

```
data_MgAgAs
_cell_length_a 4.7125
_cell_length_b 4.7125
_cell_length_c 9.6936
_cell_angle_alpha 90.00
_cell_angle_beta 90.00
_cell_angle_gamma 120.00
_space_group_name_H-M_alt 'P 63/m m c'
_space_group_IT_number 194
_space_group_name_Hall '-P 6c 2c'
loop_
_atom_site_label
_atom_site_type_symbol
_atom_site_fract_x
_atom_site_fract_y
_atom_site_fract_z
Mg1 Mg 0.0000 0.0000 0.2500
Ag1 Ag 0.3333 0.6667 0.2500
As1 As 0.0000 0.0000 0.0000
```

***

MgAgAs | GGA-PBE | optimized geometry

```
data_MgAgAs
_cell_length_a 4.3888
_cell_length_b 4.3888
_cell_length_c 3.6131
_cell_angle_alpha 90.00
_cell_angle_beta 90.00
_cell_angle_gamma 120.00
_space_group_name_H-M_alt 'P 3 m 1'
_space_group_IT_number 156
_space_group_name_Hall 'P 3 -2"'
loop_
_atom_site_label
_atom_site_type_symbol
_atom_site_fract_x
_atom_site_fract_y
_atom_site_fract_z
Mg1 Mg 0.0000 0.0000 0.0000
Ag1 Ag 0.3333 0.6667 0.4062
As1 As 0.6667 0.3333 0.6123
```

***

Mg2Ag2As | GGA-PBE | optimized geometry

```
data_Mg2Ag2As
_cell_length_a 7.5135
_cell_length_b 7.5135
_cell_length_c 3.4658
_cell_angle_alpha 90.00
_cell_angle_beta 90.00
_cell_angle_gamma 90.00
_space_group_name_H-M_alt 'P 4/m b m'
_space_group_IT_number 127
_space_group_name_Hall '-P 4 2ab'
loop_
_atom_site_label
_atom_site_type_symbol
_atom_site_fract_x
_atom_site_fract_y
_atom_site_fract_z
Mg1 Mg 0.1658 0.3342 0.0000
Ag1 Ag 0.1323 0.6323 0.5000
As1 As 0.0000 0.0000 0.5000
```

***

MgAgAs4 | GGA-PBE | optimized geometry

```
data_MgAgAs4
_cell_length_a 7.9067
_cell_length_b 7.9067
_cell_length_c 7.9067
_cell_angle_alpha 90.00
_cell_angle_beta 90.00
_cell_angle_gamma 90.00
_space_group_name_H-M_alt 'F -4 3 m'
_space_group_IT_number 216
_space_group_name_Hall 'F -4 2 3'
loop_
_atom_site_label
_atom_site_type_symbol
_atom_site_fract_x
_atom_site_fract_y
_atom_site_fract_z
Mg1 Mg 0.0000 0.0000 0.0000
Ag1 Ag 0.2500 0.2500 0.7500
As1 As 0.1249 0.1249 0.3751
```

***

MgAg2As | GGA-PBE | optimized geometry

```
data_MgAg2As
_cell_length_a 2.9837
_cell_length_b 2.9837
_cell_length_c 8.3846
_cell_angle_alpha 90.00
_cell_angle_beta 90.00
_cell_angle_gamma 90.00
_space_group_name_H-M_alt 'P 4 m m'
_space_group_IT_number 99
_space_group_name_Hall 'P 4 -2'
loop_
_atom_site_label
_atom_site_type_symbol
_atom_site_fract_x
_atom_site_fract_y
_atom_site_fract_z
Mg1 Mg 0.0000 0.0000 0.0000
Ag1 Ag 0.0000 0.0000 0.4904
Ag2 Ag 0.5000 0.5000 0.2406
As1 As 0.5000 0.5000 0.7582
```

***

MgAg2As | GGA-PBE | optimized geometry

```
data_MgAg2As
_cell_length_a 6.7105
_cell_length_b 6.7105
_cell_length_c 6.7105
_cell_angle_alpha 90.00
_cell_angle_beta 90.00
_cell_angle_gamma 90.00
_space_group_name_H-M_alt 'F -4 3 m'
_space_group_IT_number 216
_space_group_name_Hall 'F -4 2 3'
loop_
_atom_site_label
_atom_site_type_symbol
_atom_site_fract_x
_atom_site_fract_y
_atom_site_fract_z
Mg1 Mg 0.0000 0.0000 0.0000
Ag1 Ag 0.0000 0.0000 0.5000
Ag2 Ag 0.2500 0.2500 0.7500
As1 As 0.2500 0.2500 0.2500
```

***

Mg2Ag2As | GGA-PBE | optimized geometry

```
data_Mg2Ag2As
_cell_length_a 7.7388
_cell_length_b 7.7388
_cell_length_c 3.3205
_cell_angle_alpha 90.00
_cell_angle_beta 90.00
_cell_angle_gamma 90.00
_space_group_name_H-M_alt 'P 4/m b m'
_space_group_IT_number 127
_space_group_name_Hall '-P 4 2ab'
loop_
_atom_site_label
_atom_site_type_symbol
_atom_site_fract_x
_atom_site_fract_y
_atom_site_fract_z
Mg1 Mg 0.1616 0.3384 0.0000
Ag1 Ag 0.1329 0.6329 0.5000
As1 As 0.0000 0.0000 0.0000
```

***

MgAgAs | GGA-PBE | optimized geometry

```
data_MgAgAs
_cell_length_a 4.4208
_cell_length_b 6.5589
_cell_length_c 4.4176
_cell_angle_alpha 90.00
_cell_angle_beta 90.00
_cell_angle_gamma 90.00
_space_group_name_H-M_alt 'P m m 2'
_space_group_IT_number 25
_space_group_name_Hall 'P 2 -2'
loop_
_atom_site_label
_atom_site_type_symbol
_atom_site_fract_x
_atom_site_fract_y
_atom_site_fract_z
Mg1 Mg 0.0000 0.2500 0.0000
Ag1 Ag 0.5000 0.2501 0.5025
As1 As 0.0000 0.0000 0.4993
As2 As 0.5000 0.5000 0.0018
```

***

MgAg2As2 | GGA-PBE | optimized geometry

```
data_MgAg2As2
_cell_length_a 7.4409
_cell_length_b 7.4409
_cell_length_c 3.5774
_cell_angle_alpha 90.00
_cell_angle_beta 90.00
_cell_angle_gamma 90.00
_space_group_name_H-M_alt 'P 4/m b m'
_space_group_IT_number 127
_space_group_name_Hall '-P 4 2ab'
loop_
_atom_site_label
_atom_site_type_symbol
_atom_site_fract_x
_atom_site_fract_y
_atom_site_fract_z
Mg1 Mg 0.0000 0.0000 0.0000
Ag1 Ag 0.1315 0.3685 0.0000
As1 As 0.1745 0.6745 0.5000
```

***

MgAgAs | GGA-PBE | optimized geometry

```
data_MgAgAs
_cell_length_a 4.2846
_cell_length_b 8.2225
_cell_length_c 7.2716
_cell_angle_alpha 90.00
_cell_angle_beta 105.77
_cell_angle_gamma 90.00
_space_group_name_H-M_alt 'C 1 c 1'
_space_group_IT_number 9
_space_group_name_Hall 'C -2yc'
loop_
_atom_site_label
_atom_site_type_symbol
_atom_site_fract_x
_atom_site_fract_y
_atom_site_fract_z
Mg1 Mg 0.0000 0.0523 0.0000
Ag1 Ag 0.3684 0.1954 0.7361
As1 As 0.4390 0.1233 0.3685
```

***

The records above yield formation enthalpy at 0 K values of -2.108 -5.553 16.668 -2.195 -1.894 5.490 -0.812 -1.320 -0.332 -6.056 2.473 -4.908 kcal/mol of atoms, respectively.